Pm7Nd6Y16 | PBE-GGA | relaxed

abc: 15.851 15.851 15.851
angles: 90.00 90.00 90.00
Space group Fm-3m (No. 225)
Asymmetric unit:
Pm (0.000, 0.000, 0.000)
Pm (0.000, 0.250, 0.250)
Nd (0.000, 0.000, 0.223)
Y (0.114, 0.114, 0.386)
Y (0.150, 0.150, 0.150)

Computed properties:
- VASP energy (eV per atom) = -5.517
- E_form (kJ/mol of atoms) = 17.7


NaHg2Br2 | PBE-GGA | relaxed

abc: 8.202 8.202 5.472
angles: 90.00 90.00 90.00
Space group P4/mbm (No. 127)
Asymmetric unit:
Na (0.000, 0.000, 0.000)
Hg (0.122, 0.378, 0.500)
Br (0.231, 0.269, 0.000)

Computed properties:
- formation energy from raw total energies (meV/atom) = -585
- VASP energy (eV per atom) = -1.639


PrGdPd | PBE-GGA | relaxed

abc: 3.665 3.665 12.122
angles: 90.00 90.00 90.00
Space group I4mm (No. 107)
Asymmetric unit:
Pr (0.000, 0.000, 0.000)
Gd (0.000, 0.000, 0.717)
Pd (0.000, 0.000, 0.348)

Computed properties:
- VASP energy (eV per atom) = -8.505
- E_form (kJ/mol of atoms) = -47.0


AcSmPbBr | PBE-GGA | relaxed

abc: 7.930 7.930 7.930
angles: 90.00 90.00 90.00
Space group F-43m (No. 216)
Asymmetric unit:
Ac (0.000, 0.000, 0.000)
Sm (0.000, 0.000, 0.500)
Pb (0.250, 0.250, 0.250)
Br (0.250, 0.250, 0.750)

Computed properties:
- formation energy from raw total energies (meV/atom) = -808
- VASP energy (eV per atom) = -4.360


LiY2Mo | PBE-GGA | relaxed

abc: 7.107 7.107 7.107
angles: 90.00 90.00 90.00
Space group F-43m (No. 216)
Asymmetric unit:
Li (0.000, 0.000, 0.000)
Y (0.000, 0.000, 0.500)
Y (0.250, 0.250, 0.750)
Mo (0.250, 0.250, 0.250)

Computed properties:
- VASP energy (eV per atom) = -5.836
- E_form (kJ/mol of atoms) = 56.2


LiSc2Rh | PBE-GGA | relaxed

abc: 3.132 4.144 5.721
angles: 90.00 90.00 90.00
Space group Pmm2 (No. 25)
Asymmetric unit:
Li (0.000, 0.000, 0.000)
Sc (0.000, 0.000, 0.446)
Sc (0.500, 0.500, 0.777)
Rh (0.500, 0.500, 0.288)

Computed properties:
- VASP energy (eV per atom) = -5.745
- E_form (kJ/mol of atoms) = -25.4


MgFeCo2N | PBE-GGA | relaxed

abc: 3.827 3.827 3.806
angles: 90.00 90.00 90.00
Space group P4/mmm (No. 123)
Asymmetric unit:
Mg (0.000, 0.000, 0.000)
Fe (0.500, 0.500, 0.000)
Co (0.000, 0.500, 0.500)
N (0.500, 0.500, 0.500)

Computed properties:
- formation energy from raw total energies (meV/atom) = -112
- VASP energy (eV per atom) = -6.631


Ir5Br | PBE-GGA | relaxed

abc: 9.915 2.781 6.982
angles: 90.00 91.95 90.00
Space group Cm (No. 8)
Asymmetric unit:
Ir (0.000, 0.000, 0.000)
Ir (0.010, 0.500, 0.338)
Ir (0.111, 0.000, 0.642)
Ir (0.232, 0.500, 0.933)
Ir (0.387, 0.000, 0.691)
Br (0.263, 0.500, 0.281)

Computed properties:
- formation energy from raw total energies (meV/atom) = 542
- VASP energy (eV per atom) = -7.121


Pr6Er5Pb | PBE-GGA | relaxed

abc: 5.068 10.076 15.364
angles: 90.00 90.00 90.00
Space group Immm (No. 71)
Asymmetric unit:
Pr (0.000, 0.247, 0.000)
Pr (0.000, 0.253, 0.333)
Er (0.000, 0.000, 0.168)
Er (0.000, 0.000, 0.500)
Er (0.000, 0.500, 0.164)
Pb (0.000, 0.500, 0.500)

Computed properties:
- VASP energy (eV per atom) = -4.665
- E_form (kJ/mol of atoms) = -6.3


KBeIr2 | PBE-GGA | relaxed

abc: 6.392 6.392 6.392
angles: 90.00 90.00 90.00
Space group F-43m (No. 216)
Asymmetric unit:
K (0.000, 0.000, 0.000)
Be (0.250, 0.250, 0.750)
Ir (0.000, 0.000, 0.500)
Ir (0.250, 0.250, 0.250)

Computed properties:
- VASP energy (eV per atom) = -4.554
- E_form (kJ/mol of atoms) = 104.5


LiCo4P | PBE-GGA | relaxed

abc: 6.652 6.652 6.652
angles: 90.00 90.00 90.00
Space group F-43m (No. 216)
Asymmetric unit:
Li (0.000, 0.000, 0.000)
Co (0.125, 0.125, 0.625)
P (0.250, 0.250, 0.250)

Computed properties:
- VASP energy (eV per atom) = -5.732
- E_form (kJ/mol of atoms) = 21.8


BaCe4Se6 | PBE-GGA | relaxed

abc: 4.278 13.959 21.711
angles: 90.00 90.00 90.00
Space group Cmcm (No. 63)
Asymmetric unit:
Ba (0.000, 0.162, 0.250)
Ce (0.000, 0.094, 0.626)
Ce (0.000, 0.362, 0.540)
Se (0.000, 0.000, 0.000)
Se (0.000, 0.165, 0.750)
Se (0.000, 0.268, 0.087)
Se (0.000, 0.458, 0.660)

Computed properties:
- formation energy from raw total energies (meV/atom) = -1851
- VASP energy (eV per atom) = -6.085


Calculated M_tot (μB per formula unit), listed in the same order as above: 0.00, 0.00, 8.07, 0.01, 1.02, 0.13, 4.22, 0.00, 0.00, 0.92, 7.21, 4.42